1.
A geometry-optimized AcTb4Ho4 structure, computed with GGA-PBE.

CIF file:
```
data_AcTb4Ho4
_chemical_formula_sum 'Ac2 Tb8 Ho8'
_space_group_name_H-M_alt 'P -1'
_space_group_IT_number 2
_cell_length_a 6.841
_cell_length_b 8.727
_cell_length_c 10.733
_cell_angle_alpha 78.32
_cell_angle_beta 74.74
_cell_angle_gamma 76.42
loop_
_space_group_symop_operation_xyz
'x,y,z'
'-x,-y,-z'
loop_
_atom_site_label
_atom_site_type_symbol
_atom_site_fract_x
_atom_site_fract_y
_atom_site_fract_z
Ac1 Ac 0.250 0.027 0.285
Tb1 Tb 0.111 0.658 0.205
Tb2 Tb 0.114 0.658 0.538
Tb3 Tb 0.118 0.663 0.872
Tb4 Tb 0.418 0.336 0.038
Ho1 Ho 0.251 0.026 0.950
Ho2 Ho 0.265 0.024 0.622
Ho3 Ho 0.412 0.337 0.708
Ho4 Ho 0.420 0.338 0.376
```

Results
relative energy among the computed polymorphs = 13 kJ/mol of formula units
mass density = 8.51 g/cm³
formation energy = 0.05 eV per atom
magnetization = 0.00 μB per cell
VASP energy = -4.496 eV per atom



2.
A geometry-optimized AcTb2Ho2 structure, computed with GGA-PBE.

CIF file:
```
data_AcTb2Ho2
_chemical_formula_sum 'Ac4 Tb8 Ho8'
_space_group_name_H-M_alt 'C m c 21'
_space_group_IT_number 36
_cell_length_a 3.623
_cell_length_b 17.010
_cell_length_c 11.412
_cell_angle_alpha 90.00
_cell_angle_beta 90.00
_cell_angle_gamma 90.00
loop_
_space_group_symop_operation_xyz
'x,y,z'
'-x,-y,z+1/2'
'-x,y,z'
'x,-y,z+1/2'
'x+1/2,y+1/2,z'
'-x+1/2,-y+1/2,z+1/2'
'-x+1/2,y+1/2,z'
'x+1/2,-y+1/2,z+1/2'
loop_
_atom_site_label
_atom_site_type_symbol
_atom_site_fract_x
_atom_site_fract_y
_atom_site_fract_z
Ac1 Ac 0.000 0.098 0.000
Tb1 Tb 0.000 0.207 0.551
Tb2 Tb 0.000 0.410 0.865
Ho1 Ho 0.000 0.261 0.289
Ho2 Ho 0.000 0.441 0.176
```

Results
relative energy among the computed polymorphs = 0 kJ/mol of formula units
mass density = 8.26 g/cm³
formation energy = 0.15 eV per atom
magnetization = 0.00 μB per cell
VASP energy = -4.350 eV per atom



3.
A geometry-optimized AcTb3Ho8 structure, computed with GGA-PBE.

CIF file:
```
data_AcTb3Ho8
_chemical_formula_sum 'Ac1 Tb3 Ho8'
_space_group_name_H-M_alt 'P 1'
_space_group_IT_number 1
_cell_length_a 6.303
_cell_length_b 8.479
_cell_length_c 8.489
_cell_angle_alpha 84.17
_cell_angle_beta 68.22
_cell_angle_gamma 68.25
loop_
_space_group_symop_operation_xyz
'x,y,z'
loop_
_atom_site_label
_atom_site_type_symbol
_atom_site_fract_x
_atom_site_fract_y
_atom_site_fract_z
Ac1 Ac 0.000 0.000 0.000
Tb1 Tb 0.002 0.500 0.500
Tb2 Tb 0.339 0.252 0.747
Tb3 Tb 0.339 0.746 0.253
Ho1 Ho 0.002 0.086 0.577
Ho2 Ho 0.003 0.577 0.085
Ho3 Ho 0.334 0.171 0.170
Ho4 Ho 0.338 0.664 0.664
Ho5 Ho 0.665 0.914 0.422
Ho6 Ho 0.666 0.422 0.914
Ho7 Ho 0.667 0.336 0.336
Ho8 Ho 0.675 0.830 0.829
```

Results
mass density = 8.59 g/cm³
formation energy = 0.03 eV per atom
magnetization = 0.00 μB per cell
VASP energy = -4.526 eV per atom



4.
A geometry-optimized Ac2Tb5Ho6 structure, computed with GGA-PBE.

CIF file:
```
data_Ac2Tb5Ho6
_chemical_formula_sum 'Ac4 Tb10 Ho12'
_space_group_name_H-M_alt 'P b a m'
_space_group_IT_number 55
_cell_length_a 11.894
_cell_length_b 20.336
_cell_length_c 3.638
_cell_angle_alpha 90.00
_cell_angle_beta 90.00
_cell_angle_gamma 90.00
loop_
_space_group_symop_operation_xyz
'x,y,z'
'-x,-y,-z'
'-x,-y,z'
'x,y,-z'
'x+1/2,-y+1/2,-z'
'-x+1/2,y+1/2,z'
'-x+1/2,y+1/2,-z'
'x+1/2,-y+1/2,z'
loop_
_atom_site_label
_atom_site_type_symbol
_atom_site_fract_x
_atom_site_fract_y
_atom_site_fract_z
Ac1 Ac 0.162 0.222 0.000
Tb1 Tb 0.000 0.500 0.500
Tb2 Tb 0.099 0.783 0.500
Tb3 Tb 0.200 0.052 0.500
Ho1 Ho 0.060 0.925 0.000
Ho2 Ho 0.074 0.638 0.000
Ho3 Ho 0.182 0.382 0.500
```

Results
mass density = 8.45 g/cm³
formation energy = 0.12 eV per atom
magnetization = 0.00 μB per cell
VASP energy = -4.408 eV per atom